#P
! Mn2FeNi (GGA-PBE, relaxed); values from VASP
! V in Å³/atom: 12.0
! Symmetry: I-42d, No. 122
! Calculated density in g cm⁻³: 7.79
&SYSTEM
  ibrav = 0, nat = 8, ntyp = 3
/
ATOMIC_SPECIES
Mn 54.94 Mn.upf
Fe 55.84 Fe.upf
Ni 58.69 Ni.upf
CELL_PARAMETERS angstrom
-1.694 1.694 8.338
1.694 -1.694 8.338
1.694 1.694 -8.338
ATOMIC_POSITIONS crystal
Mn 0.093 0.625 0.968
Mn 0.375 0.343 0.468
Mn 0.657 0.125 0.032
Mn 0.875 0.907 0.532
Fe 0.250 0.750 0.500
Fe 0.500 0.500 0.000
Ni 0.000 0.000 0.000
Ni 0.750 0.250 0.500



#Q
! Mn2FeNi (GGA-PBE, relaxed); values from VASP
! V in Å³/atom: 11.6
! Symmetry: F-43m, No. 216
! Calculated density in g cm⁻³: 8.05
&SYSTEM
  ibrav = 0, nat = 4, ntyp = 3
/
ATOMIC_SPECIES
Mn 54.94 Mn.upf
Fe 55.84 Fe.upf
Ni 58.69 Ni.upf
CELL_PARAMETERS angstrom
0.000 2.850 2.850
2.850 0.000 2.850
2.850 2.850 0.000
ATOMIC_POSITIONS crystal
Mn 0.000 0.000 0.000
Mn 0.250 0.250 0.250
Fe 0.500 0.500 0.500
Ni 0.750 0.750 0.750



#R
! Mn2FeNi (GGA-PBE, relaxed); values from VASP
! V in Å³/atom: 11.8
! Symmetry: Fm-3m, No. 225
! Calculated density in g cm⁻³: 7.87
&SYSTEM
  ibrav = 0, nat = 4, ntyp = 3
/
ATOMIC_SPECIES
Mn 54.94 Mn.upf
Fe 55.84 Fe.upf
Ni 58.69 Ni.upf
CELL_PARAMETERS angstrom
0.000 2.872 2.872
2.872 0.000 2.872
2.872 2.872 0.000
ATOMIC_POSITIONS crystal
Mn 0.250 0.250 0.250
Mn 0.750 0.750 0.750
Fe 0.000 0.000 0.000
Ni 0.500 0.500 0.500



On energetic grounds, #R is preferred over the next structure by 72 meV/atom.



#P
! MnFeNi (GGA-PBE, relaxed); values from VASP
! V in Å³/atom: 14.8
! Symmetry: Pmmm, No. 47
! Calculated density in g cm⁻³: 6.34
&SYSTEM
  ibrav = 0, nat = 3, ntyp = 3
/
ATOMIC_SPECIES
Mn 54.94 Mn.upf
Fe 55.84 Fe.upf
Ni 58.69 Ni.upf
CELL_PARAMETERS angstrom
2.682 0.000 0.000
0.000 3.960 0.000
0.000 0.000 4.178
ATOMIC_POSITIONS crystal
Mn 0.000 0.000 0.000
Fe 0.000 0.500 0.500
Ni 0.500 0.000 0.500



#Q
! MnFeNi (GGA-PBE, relaxed); values from VASP
! V in Å³/atom: 11.1
! Symmetry: I4mm, No. 107
! Calculated density in g cm⁻³: 8.44
&SYSTEM
  ibrav = 0, nat = 3, ntyp = 3
/
ATOMIC_SPECIES
Mn 54.94 Mn.upf
Fe 55.84 Fe.upf
Ni 58.69 Ni.upf
CELL_PARAMETERS angstrom
-1.225 1.225 5.558
1.225 -1.225 5.558
1.225 1.225 -5.558
ATOMIC_POSITIONS crystal
Mn 0.000 0.000 0.000
Fe 0.327 0.327 0.000
Ni 0.661 0.661 0.000



On energetic grounds, #Q is preferred over the next structure by 386 meV/atom.



#P
! MnFeNi (GGA-PBE, relaxed); values from VASP
! V in Å³/atom: 14.4
! Symmetry: F-43m, No. 216
! Calculated density in g cm⁻³: 6.49
&SYSTEM
  ibrav = 0, nat = 3, ntyp = 3
/
ATOMIC_SPECIES
Mn 54.94 Mn.upf
Fe 55.84 Fe.upf
Ni 58.69 Ni.upf
CELL_PARAMETERS angstrom
0.000 2.788 2.788
2.788 0.000 2.788
2.788 2.788 0.000
ATOMIC_POSITIONS crystal
Mn 0.000 0.000 0.000
Fe 0.500 0.500 0.500
Ni 0.250 0.250 0.250



#Q
! MnFeNi (GGA-PBE, relaxed); values from VASP
! V in Å³/atom: 11.0
! Symmetry: Immm, No. 71
! Calculated density in g cm⁻³: 8.53
&SYSTEM
  ibrav = 0, nat = 6, ntyp = 3
/
ATOMIC_SPECIES
Mn 54.94 Mn.upf
Fe 55.84 Fe.upf
Ni 58.69 Ni.upf
CELL_PARAMETERS angstrom
-1.995 2.419 3.418
1.995 -2.419 3.418
1.995 2.419 -3.418
ATOMIC_POSITIONS crystal
Mn 0.161 0.161 0.000
Mn 0.839 0.839 0.000
Fe 0.331 0.831 0.500
Fe 0.669 0.169 0.500
Ni 0.250 0.500 0.750
Ni 0.750 0.500 0.250



On energetic grounds, #Q is preferred over the next structure by 292 meV/atom.



#P
! MnFeNi (GGA-PBE, relaxed); values from VASP
! V in Å³/atom: 11.3
! Symmetry: Imm2, No. 44
! Calculated density in g cm⁻³: 8.34
&SYSTEM
  ibrav = 0, nat = 3, ntyp = 3
/
ATOMIC_SPECIES
Mn 54.94 Mn.upf
Fe 55.84 Fe.upf
Ni 58.69 Ni.upf
CELL_PARAMETERS angstrom
-1.253 1.779 3.787
1.253 -1.779 3.787
1.253 1.779 -3.787
ATOMIC_POSITIONS crystal
Mn 0.000 0.000 0.000
Fe 0.334 0.334 0.000
Ni 0.668 0.668 0.000



#Q
! MnFeNi (GGA-PBE, relaxed); values from VASP
! V in Å³/atom: 11.5
! Symmetry: P3m1, No. 156
! Calculated density in g cm⁻³: 8.19
&SYSTEM
  ibrav = 0, nat = 3, ntyp = 3
/
ATOMIC_SPECIES
Mn 54.94 Mn.upf
Fe 55.84 Fe.upf
Ni 58.69 Ni.upf
CELL_PARAMETERS angstrom
4.012 0.000 0.000
-2.006 3.475 0.000
0.000 0.000 2.465
ATOMIC_POSITIONS crystal
Mn 0.000 0.000 0.000
Fe 0.333 0.667 0.757
Ni 0.667 0.333 0.369



On energetic grounds, #P is preferred over the next structure by 99 meV/atom.



#P
! MnFeNi3 (GGA-PBE, relaxed); values from VASP
! V in Å³/atom: 11.7
! Symmetry: C2/m, No. 12
! Calculated density in g cm⁻³: 8.16
&SYSTEM
  ibrav = 0, nat = 10, ntyp = 3
/
ATOMIC_SPECIES
Mn 54.94 Mn.upf
Fe 55.84 Fe.upf
Ni 58.69 Ni.upf
CELL_PARAMETERS angstrom
5.869 -2.063 0.000
5.869 2.063 0.000
-0.989 0.000 4.822
ATOMIC_POSITIONS crystal
Mn 0.103 0.103 0.142
Mn 0.897 0.897 0.858
Fe 0.308 0.308 0.446
Fe 0.692 0.692 0.554
Ni 0.101 0.101 0.636
Ni 0.298 0.298 0.933
Ni 0.499 0.499 0.248
Ni 0.501 0.501 0.752
Ni 0.702 0.702 0.067
Ni 0.899 0.899 0.364



#Q
! MnFeNi3 (GGA-PBE, relaxed); values from VASP
! V in Å³/atom: 11.6
! Symmetry: Cc, No. 9
! Calculated density in g cm⁻³: 8.21
&SYSTEM
  ibrav = 0, nat = 10, ntyp = 3
/
ATOMIC_SPECIES
Mn 54.94 Mn.upf
Fe 55.84 Fe.upf
Ni 58.69 Ni.upf
CELL_PARAMETERS angstrom
5.561 -2.204 0.000
5.561 2.204 0.000
-1.381 0.000 4.731
ATOMIC_POSITIONS crystal
Mn 0.092 0.908 0.500
Mn 0.908 0.092 0.000
Fe 0.304 0.474 0.804
Fe 0.474 0.304 0.304
Ni 0.105 0.288 0.401
Ni 0.288 0.105 0.901
Ni 0.514 0.677 0.199
Ni 0.677 0.514 0.699
Ni 0.716 0.875 0.605
Ni 0.875 0.716 0.105



On energetic grounds, #P is preferred over the next structure by 6 meV/atom.



#P
! MnFeNi4 (GGA-PBE, relaxed); values from VASP
! V in Å³/atom: 11.4
! Symmetry: C2/m, No. 12
! Calculated density in g cm⁻³: 8.40
&SYSTEM
  ibrav = 0, nat = 6, ntyp = 3
/
ATOMIC_SPECIES
Mn 54.94 Mn.upf
Fe 55.84 Fe.upf
Ni 58.69 Ni.upf
CELL_PARAMETERS angstrom
4.047 -1.730 0.000
4.047 1.730 0.000
-1.619 0.000 4.880
ATOMIC_POSITIONS crystal
Mn 0.000 0.000 0.000
Fe 0.000 0.000 0.500
Ni 0.332 0.332 0.663
Ni 0.334 0.334 0.170
Ni 0.666 0.666 0.830
Ni 0.668 0.668 0.337



#Q
! MnFeNi4 (GGA-PBE, relaxed); values from VASP
! V in Å³/atom: 11.9
! Symmetry: F-43m, No. 216
! Calculated density in g cm⁻³: 8.01
&SYSTEM
  ibrav = 0, nat = 6, ntyp = 3
/
ATOMIC_SPECIES
Mn 54.94 Mn.upf
Fe 55.84 Fe.upf
Ni 58.69 Ni.upf
CELL_PARAMETERS angstrom
0.000 3.296 3.296
3.296 0.000 3.296
3.296 3.296 0.000
ATOMIC_POSITIONS crystal
Mn 0.000 0.000 0.000
Fe 0.250 0.250 0.250
Ni 0.125 0.625 0.625
Ni 0.625 0.125 0.625
Ni 0.625 0.625 0.125
Ni 0.625 0.625 0.625



#R
! MnFeNi4 (GGA-PBE, relaxed); values from VASP
! V in Å³/atom: 13.5
! Symmetry: P4/mmm, No. 123
! Calculated density in g cm⁻³: 7.09
&SYSTEM
  ibrav = 0, nat = 6, ntyp = 3
/
ATOMIC_SPECIES
Mn 54.94 Mn.upf
Fe 55.84 Fe.upf
Ni 58.69 Ni.upf
CELL_PARAMETERS angstrom
3.867 0.000 0.000
0.000 3.867 0.000
0.000 0.000 5.414
ATOMIC_POSITIONS crystal
Mn 0.000 0.000 0.000
Fe 0.500 0.500 0.500
Ni 0.000 0.500 0.254
Ni 0.000 0.500 0.746
Ni 0.500 0.000 0.254
Ni 0.500 0.000 0.746



On energetic grounds, #P is preferred over the next structure by 96 meV/atom.